DFT (PBE) results for a relaxed ZrAg2 crystal.

Values from the calculation:
Energy relative to the lowest polymorph listed for this composition (eV per formula unit): 0.33
Energy of formation (eV per atom): 0.0495
V (Å³ per cell): 59.1

Cell lengths 3.0526, 3.0526, 7.3195 Å; angles 90.00, 90.00, 120.00 degrees
Element x y z (fractional)
1 Ag 0.3333 0.6667 0.3396
2 Ag 0.6667 0.3333 0.6604
3 Zr 0.0000 0.0000 0.0000

***

DFT (PBE) results for a relaxed ZrAg5 crystal.

Values from the calculation:
Energy relative to the lowest polymorph listed for this composition (eV per formula unit): 1.22
Energy of formation (eV per atom): 0.2188
V (Å³ per cell): 119.8

Cell lengths 5.3942, 5.3942, 4.7555 Å; angles 90.00, 90.00, 120.00 degrees
Last column: magnetic moment on the atom in μB.
Element x y z (fractional)
1 Zr 0.0000 0.0000 0.0000  0.50
2 Ag 0.0000 0.5000 0.5000  0.02
3 Ag 0.3333 0.6667 0.0000  0.01
4 Ag 0.5000 0.0000 0.5000  0.02
5 Ag 0.5000 0.5000 0.5000  0.02
6 Ag 0.6667 0.3333 0.0000  0.01